# 1
# Na5Tl2Bi5 PBE relaxed
data_Na5Tl2Bi5
_chemical_formula_sum 'Na5 Tl2 Bi5'
_symmetry_space_group_name_H-M 'P 1'
_symmetry_Int_Tables_number 1
_cell_length_a 5.649
_cell_length_b 6.131
_cell_length_c 13.078
_cell_angle_alpha 104.49
_cell_angle_beta 90.00
_cell_angle_gamma 117.43
loop_
_symmetry_equiv_pos_as_xyz
'x,y,z'
loop_
_atom_site_label
_atom_site_type_symbol
_atom_site_fract_x
_atom_site_fract_y
_atom_site_fract_z
Na1 Na 0.500 0.000 0.500
Na2 Na 0.668 0.337 0.013
Na3 Na 0.599 0.198 0.262
Na4 Na 0.332 0.663 0.987
Na5 Na 0.401 0.802 0.738
Bi1 Bi 0.817 0.635 0.551
Bi2 Bi 0.745 0.490 0.771
Bi3 Bi 0.183 0.365 0.449
Bi4 Bi 0.255 0.510 0.229
Bi5 Bi 0.000 0.000 0.000
Tl1 Tl 0.080 0.159 0.754
Tl2 Tl 0.920 0.841 0.246
# Crystal system ... monoclinic
# Formation energy from the elements ... -0.203 eV per atom

=====

# 2
# Na4Tl5Bi PBE relaxed
data_Na4Tl5Bi
_chemical_formula_sum 'Na4 Tl5 Bi1'
_symmetry_space_group_name_H-M 'P 1'
_symmetry_Int_Tables_number 1
_cell_length_a 4.099
_cell_length_b 4.099
_cell_length_c 17.533
_cell_angle_alpha 90.00
_cell_angle_beta 90.00
_cell_angle_gamma 90.00
loop_
_symmetry_equiv_pos_as_xyz
'x,y,z'
loop_
_atom_site_label
_atom_site_type_symbol
_atom_site_fract_x
_atom_site_fract_y
_atom_site_fract_z
Na1 Na 0.000 0.000 0.400
Na2 Na 0.000 0.000 0.801
Na3 Na 0.000 0.000 0.600
Na4 Na 0.000 0.000 0.199
Tl1 Tl 0.500 0.500 0.098
Tl2 Tl 0.500 0.500 0.500
Tl3 Tl 0.500 0.500 0.699
Tl4 Tl 0.500 0.500 0.301
Tl5 Tl 0.500 0.500 0.902
Bi1 Bi 0.000 0.000 0.000
# Distance to the lowest polymorph of the same formula ... 0.0 kJ/mol of atoms
# Crystal system ... tetragonal
# Formation energy from the elements ... -0.094 eV per atom

=====

# 3
# Na2Tl3Bi PBE relaxed
data_Na2Tl3Bi
_chemical_formula_sum 'Na4 Tl6 Bi2'
_symmetry_space_group_name_H-M 'P 1'
_symmetry_Int_Tables_number 1
_cell_length_a 5.146
_cell_length_b 10.595
_cell_length_c 8.899
_cell_angle_alpha 127.95
_cell_angle_beta 106.79
_cell_angle_gamma 90.07
loop_
_symmetry_equiv_pos_as_xyz
'x,y,z'
loop_
_atom_site_label
_atom_site_type_symbol
_atom_site_fract_x
_atom_site_fract_y
_atom_site_fract_z
Na1 Na 0.247 0.869 0.493
Na2 Na 0.753 0.131 0.507
Na3 Na 0.419 0.797 0.839
Na4 Na 0.581 0.203 0.161
Tl1 Tl 0.258 0.387 0.518
Tl2 Tl 0.580 0.714 0.163
Tl3 Tl 0.084 0.447 0.160
Tl4 Tl 0.420 0.286 0.837
Tl5 Tl 0.742 0.613 0.482
Tl6 Tl 0.916 0.553 0.840
Bi1 Bi 0.913 0.030 0.823
Bi2 Bi 0.087 0.970 0.177
# Distance to the lowest polymorph of the same formula ... 2.3 kJ/mol of atoms
# Crystal system ... triclinic
# Formation energy from the elements ... -0.145 eV per atom

=====

# 4
# Na8Tl2Bi3 PBE relaxed
data_Na8Tl2Bi3
_chemical_formula_sum 'Na8 Tl2 Bi3'
_symmetry_space_group_name_H-M 'P 1'
_symmetry_Int_Tables_number 1
_cell_length_a 6.393
_cell_length_b 6.393
_cell_length_c 12.280
_cell_angle_alpha 74.91
_cell_angle_beta 74.91
_cell_angle_gamma 60.00
loop_
_symmetry_equiv_pos_as_xyz
'x,y,z'
loop_
_atom_site_label
_atom_site_type_symbol
_atom_site_fract_x
_atom_site_fract_y
_atom_site_fract_z
Bi1 Bi 0.000 0.000 0.000
Bi2 Bi 0.802 0.802 0.594
Bi3 Bi 0.198 0.198 0.406
Na1 Na 0.719 0.719 0.353
Na2 Na 0.281 0.790 0.647
Na3 Na 0.281 0.281 0.647
Na4 Na 0.719 0.210 0.353
Na5 Na 0.790 0.281 0.647
Na6 Na 0.210 0.719 0.353
Na7 Na 0.715 0.715 0.855
Na8 Na 0.285 0.285 0.145
Tl1 Tl 0.628 0.628 0.115
Tl2 Tl 0.372 0.372 0.885
# Crystal system ... trigonal
# Formation energy from the elements ... -0.125 eV per atom

=====

# 5
# Na5Tl5Bi2 PBE relaxed
data_Na5Tl5Bi2
_chemical_formula_sum 'Na5 Tl5 Bi2'
_symmetry_space_group_name_H-M 'P 1'
_symmetry_Int_Tables_number 1
_cell_length_a 4.728
_cell_length_b 7.870
_cell_length_c 10.415
_cell_angle_alpha 75.68
_cell_angle_beta 76.88
_cell_angle_gamma 72.52
loop_
_symmetry_equiv_pos_as_xyz
'x,y,z'
loop_
_atom_site_label
_atom_site_type_symbol
_atom_site_fract_x
_atom_site_fract_y
_atom_site_fract_z
Tl1 Tl 0.745 0.260 0.249
Tl2 Tl 0.255 0.740 0.751
Tl3 Tl 0.163 0.179 0.495
Tl4 Tl 0.000 0.000 0.000
Tl5 Tl 0.837 0.821 0.505
Na1 Na 0.336 0.332 0.997
Na2 Na 0.500 0.500 0.500
Na3 Na 0.664 0.668 0.003
Na4 Na 0.418 0.909 0.254
Na5 Na 0.582 0.091 0.746
Bi1 Bi 0.911 0.423 0.755
Bi2 Bi 0.089 0.577 0.245
# Crystal system ... monoclinic
# Formation energy from the elements ... -0.183 eV per atom

=====

# 6
# Na5TlBi2 PBE relaxed
data_Na5TlBi2
_chemical_formula_sum 'Na10 Tl2 Bi4'
_symmetry_space_group_name_H-M 'P 1'
_symmetry_Int_Tables_number 1
_cell_length_a 5.494
_cell_length_b 5.494
_cell_length_c 20.635
_cell_angle_alpha 90.00
_cell_angle_beta 90.00
_cell_angle_gamma 120.00
loop_
_symmetry_equiv_pos_as_xyz
'x,y,z'
loop_
_atom_site_label
_atom_site_type_symbol
_atom_site_fract_x
_atom_site_fract_y
_atom_site_fract_z
Na1 Na 0.000 0.000 0.356
Na2 Na 0.667 0.333 0.250
Na3 Na 0.667 0.333 0.445
Na4 Na 0.000 0.000 0.856
Na5 Na 0.667 0.333 0.055
Na6 Na 0.333 0.667 0.555
Na7 Na 0.000 0.000 0.144
Na8 Na 0.333 0.667 0.750
Na9 Na 0.333 0.667 0.945
Na10 Na 0.000 0.000 0.644
Bi1 Bi 0.667 0.333 0.896
Bi2 Bi 0.667 0.333 0.604
Bi3 Bi 0.333 0.667 0.396
Bi4 Bi 0.333 0.667 0.104
Tl1 Tl 0.333 0.667 0.250
Tl2 Tl 0.667 0.333 0.750
# Crystal system ... hexagonal
# Formation energy from the elements ... -0.217 eV per atom

=====

- The lowest formation energy from the elements belongs to which entry?
  Na5TlBi2

=====

- Number 5 is which compound?
  Na5Tl5Bi2

=====

- Which of these has the lowest formation energy from the elements?
  Na5TlBi2